Entry from Alexandria: an optimized crystal structure of Ca3LaMg8 (PBE).

Cell lengths 6.219, 6.219, 10.758 Å; angles 73.20, 73.20, 60.00 degrees
Fractional positions:
1 Mg 0.437 0.938 0.188
2 Mg 0.937 0.438 0.687
3 La 0.875 0.875 0.374
4 Mg 0.188 0.188 0.437
5 Ca 0.375 0.375 0.876
6 Mg 0.688 0.688 0.937
7 Mg 0.437 0.437 0.188
8 Ca 0.500 0.500 0.500
9 Mg 0.438 0.937 0.687
10 Mg 0.938 0.437 0.188
11 Ca 0.000 0.000 0.000
12 Mg 0.937 0.937 0.687

## Properties
Crystal system = trigonal
SG = R3m (160)
DFT total energy = -25.1 eV for the cell shown

=====

Entry from Alexandria: an optimized crystal structure of K3NpH2O6 (PBE).

Cell lengths 6.779, 10.043, 11.049 Å; angles 90.00, 90.00, 90.00 degrees
Fractional positions:
1 K 0.509 0.086 0.343
2 O 0.603 0.647 0.594
3 O 0.777 0.121 0.943
4 H 0.704 0.793 0.484
5 O 0.860 0.440 0.858
6 O 0.360 0.060 0.858
7 O 0.223 0.621 0.443
8 O 0.397 0.147 0.094
9 O 0.860 0.060 0.642
10 O 0.277 0.379 0.943
11 O 0.277 0.121 0.557
12 O 0.140 0.940 0.358
13 O 0.603 0.853 0.906
14 Np 0.000 0.000 0.500
15 K 0.491 0.914 0.657
16 O 0.223 0.879 0.057
17 O 0.360 0.440 0.642
18 K 0.491 0.586 0.843
19 Np 0.500 0.500 0.500
20 K 0.509 0.414 0.157
21 O 0.723 0.879 0.443
22 H 0.204 0.793 0.016
23 O 0.723 0.621 0.057
24 O 0.397 0.353 0.406
25 O 0.103 0.853 0.594
26 K 0.396 0.750 0.250
27 K 0.991 0.586 0.657
28 H 0.296 0.207 0.516
29 Np 0.000 0.500 0.000
30 H 0.204 0.707 0.484
31 O 0.897 0.147 0.406
32 H 0.704 0.707 0.016
33 K 0.604 0.250 0.750
34 K 0.991 0.914 0.843
35 K 0.104 0.250 0.750
36 K 0.009 0.086 0.157
37 O 0.777 0.379 0.557
38 O 0.140 0.560 0.142
39 O 0.640 0.940 0.142
40 H 0.796 0.293 0.516
41 H 0.796 0.207 0.984
42 Np 0.500 0.000 0.000
43 K 0.009 0.414 0.343
44 O 0.897 0.353 0.094
45 K 0.896 0.750 0.250
46 H 0.296 0.293 0.984
47 O 0.103 0.647 0.906
48 O 0.640 0.560 0.358

## Properties
Crystal system = orthorhombic
SG = Pccn (56)
DFT total energy = -306.1 eV for the cell shown

=====

Entry from Alexandria: an optimized crystal structure of BaNaNi2 (PBE).

Cell lengths 4.789, 4.789, 9.819 Å; angles 75.89, 75.89, 90.00 degrees
Last column: magnetic moment on the atom in μB.
Fractional positions:
1 Ni 0.875 0.625 0.750  0.33
2 Ni 0.375 0.625 0.750  0.33
3 Ba 0.000 0.000 0.000  -0.04
4 Ni 0.375 0.625 0.250  0.51
5 Ba 0.750 0.250 0.500  -0.04
6 Na 0.250 0.750 0.500  -0.01
7 Ni 0.375 0.125 0.250  0.51
8 Na 0.500 0.500 0.000  -0.01

## Properties
Crystal system = tetragonal
SG = I4_1/amd (141)
DFT total energy = -25.7 eV for the cell shown